Compound: Nd6Dy8Ho
Source: Alexandria via LeMat-Bulk
Functional: PBE-GGA
Structure: relaxed

```
Nd6Dy8Ho
1.0
9.409 0.000 0.000
-4.705 8.149 0.000
0.000 0.000 6.544
Nd Dy Ho
6 8 1
Cartesian
-3.194 6.087 2.187
1.030 2.339 2.187
2.541 0.278 4.357
2.164 7.871 2.187
3.675 5.809 4.357
7.898 2.062 4.357
-2.201 5.342 5.510
0.000 5.432 2.483
1.179 3.572 5.510
3.683 0.765 1.035
1.022 7.384 5.510
3.526 4.577 1.035
4.705 2.716 4.061
6.905 2.807 1.035
0.000 0.000 0.000
```

Summary:
**Density of states at the Fermi level**: 21.7 states/eV/f.u.
**Total energy**: -4.4883 eV per atom
**Formation enthalpy at 0 K**: 178 meV per atom
**Excess energy over the best structure of this formula in the dataset**: 60 meV per atom
**Total magnetization**: 0.000 μB per formula unit

***

Compound: Nd8DyHo6
Source: Alexandria via LeMat-Bulk
Functional: PBE-GGA
Structure: relaxed

```
Nd8DyHo6
1.0
9.437 0.000 0.000
-4.719 8.173 0.000
0.000 0.000 6.573
Nd Dy Ho
8 1 6
Cartesian
-1.005 2.347 1.098
-2.183 7.870 1.098
1.530 2.044 5.475
0.000 5.449 0.792
4.719 2.724 5.781
3.189 6.129 1.098
6.902 0.303 5.475
5.724 5.826 5.475
0.000 0.000 3.286
-1.176 3.576 4.321
-1.034 7.403 4.321
2.509 2.806 2.252
2.210 5.367 4.321
5.753 0.770 2.252
5.894 4.597 2.252
```

Summary:
**Density of states at the Fermi level**: 23.4 states/eV/f.u.
**Total energy**: -4.5056 eV per atom
**Formation enthalpy at 0 K**: 175 meV per atom
**Excess energy over the best structure of this formula in the dataset**: 50 meV per atom
**Total magnetization**: 0.000 μB per formula unit

***

Compound: Nd5Dy6Ho2
Source: Alexandria via LeMat-Bulk
Functional: PBE-GGA
Structure: relaxed

```
Nd5Dy6Ho2
1.0
11.673 0.000 0.000
0.000 20.591 0.000
0.000 0.000 3.603
Nd Dy Ho
10 12 4
Cartesian
0.000 0.000 0.000
0.979 5.624 0.000
2.319 11.349 0.000
3.518 1.054 0.000
4.858 15.920 0.000
5.837 10.296 0.000
6.815 4.671 0.000
8.156 19.538 0.000
9.354 9.242 0.000
10.694 14.967 0.000
0.719 8.629 1.802
0.941 2.715 1.802
2.045 17.747 0.000
3.792 7.451 0.000
4.896 13.011 1.802
5.118 18.924 1.802
6.556 1.667 1.802
6.777 7.581 1.802
7.882 13.140 0.000
9.628 2.845 0.000
10.733 17.876 1.802
10.954 11.962 1.802
2.003 14.638 1.802
3.834 4.342 1.802
7.840 16.249 1.802
9.670 5.953 1.802
```

Summary:
**Density of states at the Fermi level**: 15.7 states/eV/f.u.
**Total energy**: -4.5689 eV per atom
**Formation enthalpy at 0 K**: 93 meV per atom
**Total magnetization**: 0.000 μB per formula unit

***

Compound: Nd2Dy6Ho
Source: Alexandria via LeMat-Bulk
Functional: PBE-GGA
Structure: relaxed

```
Nd2Dy6Ho
1.0
6.415 -7.156 0.000
6.415 7.156 0.000
-1.624 0.000 6.388
Nd Dy Ho
4 12 2
Cartesian
1.242 0.362 2.386
0.430 -0.362 5.580
10.777 0.362 0.809
9.965 -0.362 4.003
1.894 2.885 4.655
4.340 4.467 6.360
6.056 4.467 3.222
4.429 1.297 1.178
2.706 -2.885 1.461
3.617 -1.297 4.372
7.590 1.297 2.016
8.501 2.885 4.927
6.778 -1.297 5.210
5.151 -4.467 3.166
6.867 -4.467 0.028
9.313 -2.885 1.733
5.198 1.682 4.791
6.009 -1.682 1.597
```

Summary:
**Density of states at the Fermi level**: 11.6 states/eV/f.u.
**Total energy**: -4.5233 eV per atom
**Formation enthalpy at 0 K**: 113 meV per atom
**Total magnetization**: 0.000 μB per formula unit

***

Compound: Nd5Dy2Ho5
Source: Alexandria via LeMat-Bulk
Functional: PBE-GGA
Structure: relaxed

```
Nd5Dy2Ho5
1.0
7.617 -2.534 0.000
7.617 2.534 0.000
-5.090 0.000 10.183
Nd Dy Ho
5 2 5
Cartesian
0.000 0.000 0.000
-2.537 0.000 7.646
-0.014 0.000 5.084
10.157 0.000 5.099
12.680 0.000 2.537
2.522 0.000 7.652
7.621 0.000 2.531
2.530 0.000 2.521
-0.026 0.000 10.171
5.071 0.000 5.092
10.168 0.000 0.012
7.612 0.000 7.663
```

Summary:
**Density of states at the Fermi level**: 17.5 states/eV/f.u.
**Total energy**: -4.6423 eV per atom
**Formation enthalpy at 0 K**: 19 meV per atom
**Total magnetization**: 0.000 μB per formula unit

***

Compound: NdDy7Ho12
Source: Alexandria via LeMat-Bulk
Functional: PBE-GGA
Structure: relaxed

```
NdDy7Ho12
1.0
-5.610 5.610 5.610
5.610 -5.610 5.610
5.610 5.610 -5.610
Nd Dy Ho
1 7 12
Cartesian
0.000 0.000 0.000
2.805 2.805 -2.805
2.805 -2.805 2.805
5.610 0.000 0.000
-2.805 2.805 2.805
0.000 5.610 0.000
0.000 0.000 5.610
2.805 2.805 2.805
5.610 2.761 -2.750
2.860 0.000 2.849
8.360 0.000 2.849
2.849 2.860 0.000
2.761 -2.750 5.610
5.610 2.761 2.750
0.000 2.849 2.860
2.849 8.360 0.000
2.761 2.750 5.610
-2.750 5.610 2.761
2.750 5.610 2.761
0.000 2.849 8.360
```

Summary:
**Density of states at the Fermi level**: 24.3 states/eV/f.u.
**Total energy**: -3.8866 eV per atom
**Formation enthalpy at 0 K**: 709 meV per atom
**Excess energy over the best structure of this formula in the dataset**: 406 meV per atom
**Total magnetization**: 0.000 μB per formula unit

***

Compound: Nd6Dy8Ho
Source: Alexandria via LeMat-Bulk
Functional: PBE-GGA
Structure: relaxed

```
Nd6Dy8Ho
1.0
4.564 2.635 6.958
-4.564 2.635 6.958
0.000 -5.271 6.958
Nd Dy Ho
6 8 1
Cartesian
-3.151 -1.156 9.531
-0.574 -3.307 11.342
-2.577 2.151 11.342
2.577 -2.151 9.531
0.574 3.307 9.531
3.151 1.156 11.342
0.000 0.000 1.604
-0.139 -1.995 7.505
-1.659 1.118 7.505
-1.797 -0.877 13.368
1.797 0.877 7.505
1.659 -1.118 13.368
0.139 1.995 13.368
0.000 0.000 19.270
0.000 0.000 10.437
```

Summary:
**Density of states at the Fermi level**: 21.5 states/eV/f.u.
**Total energy**: -4.5483 eV per atom
**Formation enthalpy at 0 K**: 118 meV per atom
**Excess energy over the best structure of this formula in the dataset**: 0 meV per atom
**Total magnetization**: 0.000 μB per formula unit

***

Compound: Nd7DyHo4
Source: Alexandria via LeMat-Bulk
Functional: PBE-GGA
Structure: relaxed

```
Nd7DyHo4
1.0
6.330 0.000 0.000
-0.002 7.292 0.000
-2.112 -0.005 8.743
Nd Dy Ho
7 1 4
Cartesian
0.000 0.000 0.000
-0.007 3.644 5.821
1.067 5.473 2.930
3.158 1.804 0.014
1.058 5.483 8.729
3.149 1.815 5.814
4.223 3.643 2.923
-0.001 3.646 0.000
-0.018 7.289 5.813
1.055 1.802 2.907
3.161 5.486 5.836
4.234 -0.002 2.931
```

Summary:
**Density of states at the Fermi level**: 16.7 states/eV/f.u.
**Total energy**: -4.6837 eV per atom
**Formation enthalpy at 0 K**: 7 meV per atom
**Excess energy over the best structure of this formula in the dataset**: 0 meV per atom
**Total magnetization**: 0.000 μB per formula unit

***

Compound: Nd3Dy5Ho
Source: Alexandria via LeMat-Bulk
Functional: PBE-GGA
Structure: relaxed

```
Nd3Dy5Ho
1.0
8.791 -3.158 0.000
8.791 3.158 0.000
-3.290 0.000 11.083
Nd Dy Ho
6 10 2
Cartesian
0.000 0.000 0.000
-1.645 0.000 5.541
2.970 1.076 10.788
9.677 1.076 5.836
4.615 -1.076 5.247
11.322 -1.076 0.294
3.826 2.059 6.702
4.772 1.438 3.000
8.822 2.059 9.922
6.324 0.582 8.312
11.165 1.438 2.541
3.127 -1.438 8.541
7.969 -0.582 2.771
5.471 -2.059 1.161
9.520 -1.438 8.083
10.467 -2.059 4.380
7.969 2.471 2.771
6.324 -2.471 8.312
```

Summary:
**Density of states at the Fermi level**: 11.6 states/eV/f.u.
**Total energy**: -4.3717 eV per atom
**Formation enthalpy at 0 K**: 283 meV per atom
**Excess energy over the best structure of this formula in the dataset**: 0 meV per atom
**Total magnetization**: 0.000 μB per formula unit

***

Compound: Nd5Dy4Ho4
Source: Alexandria via LeMat-Bulk
Functional: PBE-GGA
Structure: relaxed

```
Nd5Dy4Ho4
1.0
-6.482 6.482 2.531
6.482 -6.482 2.531
6.482 6.482 -2.531
Nd Dy Ho
5 4 4
Cartesian
0.000 0.000 0.000
6.985 3.960 0.000
3.960 5.979 0.000
2.522 0.503 2.531
-0.503 2.522 2.531
4.999 0.983 0.000
5.499 -1.483 2.531
0.983 7.964 0.000
1.483 5.499 2.531
9.946 2.008 0.000
2.008 3.018 0.000
4.474 3.464 2.531
-3.464 4.474 2.531
```

Summary:
**Density of states at the Fermi level**: 18.3 states/eV/f.u.
**Total energy**: -4.6400 eV per atom
**Formation enthalpy at 0 K**: 18 meV per atom
**Total magnetization**: 0.000 μB per formula unit

***

Compound: Nd12Dy2Ho5
Source: Alexandria via LeMat-Bulk
Functional: PBE-GGA
Structure: relaxed

```
Nd12Dy2Ho5
1.0
7.655 -5.291 0.000
7.655 5.291 0.000
-0.480 0.000 8.055
Nd Dy Ho
12 2 5
Cartesian
0.724 0.000 1.710
4.467 2.389 5.699
5.970 2.889 0.916
8.860 2.889 7.139
5.413 0.000 3.152
10.363 2.389 2.355
4.467 -2.389 5.699
9.418 0.000 4.902
5.970 -2.889 0.916
8.860 -2.889 7.139
10.363 -2.389 2.355
14.107 0.000 6.344
7.415 2.818 4.027
7.415 -2.818 4.027
2.097 0.000 4.781
3.940 0.000 0.106
7.655 0.000 0.000
10.891 0.000 7.949
12.734 0.000 3.273
```

Summary:
**Density of states at the Fermi level**: 27.4 states/eV/f.u.
**Total energy**: -4.5698 eV per atom
**Formation enthalpy at 0 K**: 131 meV per atom
**Excess energy over the best structure of this formula in the dataset**: 0 meV per atom
**Total magnetization**: 0.000 μB per formula unit

***

Compound: NdDy4Ho6
Source: Alexandria via LeMat-Bulk
Functional: PBE-GGA
Structure: relaxed

```
NdDy4Ho6
1.0
-3.824 3.824 6.469
3.824 -3.824 6.469
3.824 3.824 -6.469
Nd Dy Ho
1 4 6
Cartesian
0.000 0.000 0.000
2.553 2.553 -0.981
1.271 -1.271 7.450
1.271 1.271 5.488
-1.271 1.271 7.450
3.824 0.000 0.000
1.930 -1.930 4.062
1.894 1.894 2.407
0.000 3.824 0.000
-1.930 1.930 4.062
1.930 1.930 8.876
```

Summary:
**Density of states at the Fermi level**: 15.9 states/eV/f.u.
**Total energy**: -4.1578 eV per atom
**Formation enthalpy at 0 K**: 446 meV per atom
**Excess energy over the best structure of this formula in the dataset**: 322 meV per atom
**Total magnetization**: 0.001 μB per formula unit

***

Question: density of states at the Fermi level of number 10 (Nd5Dy4Ho4)?
Answer: 18.3 states/eV/f.u.

***

Question: Which value of total magnetization does entry 6 give?
Answer: 0.000 μB per formula unit